A plane-wave DFT calculation with PBE was carried out for crystalline Li2TiOs at its relaxed geometry.

```
data_Li2TiOs
_chemical_formula_sum 'Li4 Ti2 Os2'
_space_group_name_H-M_alt 'P 1'
_space_group_IT_number 1
_space_group_name_Hall 'P 1'
_cell_length_a 3.540
_cell_length_b 3.540
_cell_length_c 10.309
_cell_angle_alpha 80.11
_cell_angle_beta 80.11
_cell_angle_gamma 90.00
loop_
_atom_site_label
_atom_site_fract_x
_atom_site_fract_y
_atom_site_fract_z
Li1 0.649 0.125 0.250
Li2 0.101 0.625 0.250
Li3 0.375 0.351 0.750
Li4 0.875 0.899 0.750
Os1 0.000 0.000 0.000
Os2 0.750 0.250 0.500
Ti1 0.500 0.500 0.000
Ti2 0.250 0.750 0.500
```

Size of the total moment: 0.00 μB per formula unit
Offset from the most stable computed form: 0.00 kJ per mole of atoms